(1)
A relaxed OsPtAu2 crystal, computed with GGA-PBE.

Its polymorph energy (0 for the lowest one) is 180 meV/atom. Its energy of formation from the pure elements is 421 meV per atom. The total magnetization comes out at 0.00 μB per formula unit.

The structure belongs to space group P2/m (No. 10); the cell edges are 4.993, 2.765 and 5.048 Å and the angles 90.00°, 110.32° and 90.00°. The inequivalent atoms are Os at (0.000, 0.000, 0.000), Pt at (0.500, 0.500, 0.000), Au at (0.000, 0.500, 0.500) and Au at (0.500, 0.000, 0.500).



(2)
A relaxed Os2PtAu crystal, computed with GGA-PBE.

Its polymorph energy (0 for the lowest one) is 264 meV/atom. Its energy of formation from the pure elements is 436 meV per atom. The total magnetization comes out at 0.00 μB per formula unit.

The structure belongs to space group I-4m2 (No. 119); the cell edges are 3.925, 3.925 and 7.954 Å and the angles 90.00°, 90.00° and 90.00°. The inequivalent atoms are Os at (0.000, 0.000, 0.000), Os at (0.000, 0.500, 0.250), Pt at (0.000, 0.500, 0.750) and Au at (0.000, 0.000, 0.500).



(3)
A relaxed Os2PtAu crystal, computed with GGA-PBE.

Its polymorph energy (0 for the lowest one) is 924 meV/atom. Its energy of formation from the pure elements is 1096 meV per atom. The total magnetization comes out at 0.00 μB per formula unit.

The structure belongs to space group I-42d (No. 122); the cell edges are 7.220, 7.220 and 5.245 Å and the angles 90.00°, 90.00° and 90.00°. The inequivalent atoms are Os at (0.237, 0.250, 0.125), Pt at (0.000, 0.000, 0.000) and Au at (0.000, 0.000, 0.500).



(4)
A relaxed Os2PtAu crystal, computed with GGA-PBE.

Its polymorph energy (0 for the lowest one) is 284 meV/atom. Its energy of formation from the pure elements is 456 meV per atom. The total magnetization comes out at 0.89 μB per formula unit.

The structure belongs to space group Cmm2 (No. 35); the cell edges are 2.757, 4.767 and 9.722 Å and the angles 90.00°, 90.00° and 90.00°. The inequivalent atoms are Os at (0.000, 0.000, 0.000), Os at (0.000, 0.500, 0.225), Pt at (0.000, 0.500, 0.751) and Au at (0.000, 0.000, 0.489).



(5)
A relaxed Os2PtAu crystal, computed with GGA-PBE.

Its polymorph energy (0 for the lowest one) is 232 meV/atom. Its energy of formation from the pure elements is 403 meV per atom. The total magnetization comes out at 0.00 μB per formula unit.

The structure belongs to space group R-3m (No. 166, hexagonal axes); the cell edges are 2.7725, 2.7725 and 27.7917 Å and the angles 90.00°, 90.00° and 120.00°. The inequivalent atoms are Os at (0.0000, 0.0000, 0.2471), Pt at (0.0000, 0.0000, 0.5000) and Au at (0.0000, 0.0000, 0.0000).



(6)
A relaxed OsPtAu crystal, computed with GGA-PBE.

Its polymorph energy (0 for the lowest one) is 171 meV/atom. Its energy of formation from the pure elements is 454 meV per atom. The total magnetization comes out at 0.00 μB per formula unit.

The structure belongs to space group Fmm2 (No. 42); the cell edges are 2.750, 4.802 and 14.743 Å and the angles 90.00°, 90.00° and 90.00°. The inequivalent atoms are Os at (0.000, 0.000, 0.000), Pt at (0.000, 0.000, 0.658) and Au at (0.000, 0.000, 0.330).



(7)
A relaxed OsPt4Au crystal, computed with GGA-PBE.

Its energy of formation from the pure elements is 548 meV per atom. The total magnetization comes out at 2.95 μB per formula unit.

The structure belongs to space group F-43m (No. 216); the cell edges are 7.412, 7.412 and 7.412 Å and the angles 90.00°, 90.00° and 90.00°. The inequivalent atoms are Os at (0.000, 0.000, 0.000), Pt at (0.125, 0.125, 0.625) and Au at (0.250, 0.250, 0.250).



(8)
A relaxed OsPt2Au crystal, computed with GGA-PBE.

Its polymorph energy (0 for the lowest one) is 591 meV/atom. Its energy of formation from the pure elements is 681 meV per atom. The total magnetization comes out at 0.01 μB per formula unit.

The structure belongs to space group I-42d (No. 122); the cell edges are 7.174, 7.174 and 5.471 Å and the angles 90.00°, 90.00° and 90.00°. The inequivalent atoms are Os at (0.000, 0.000, 0.000), Pt at (0.228, 0.750, 0.125) and Au at (0.000, 0.000, 0.500).



(9)
A relaxed Os2PtAu crystal, computed with GGA-PBE.

Its polymorph energy (0 for the lowest one) is 459 meV/atom. Its energy of formation from the pure elements is 630 meV per atom. The total magnetization comes out at 0.00 μB per formula unit.

The structure belongs to space group P2/m (No. 10); the cell edges are 2.792, 4.851 and 4.703 Å and the angles 90.00°, 90.77° and 90.00°. The inequivalent atoms are Os at (0.195, 0.000, 0.258), Pt at (0.000, 0.500, 0.000) and Au at (0.500, 0.500, 0.500).



(10)
A relaxed Os2PtAu crystal, computed with GGA-PBE.

Its polymorph energy (0 for the lowest one) is 112 meV/atom. Its energy of formation from the pure elements is 284 meV per atom. The total magnetization comes out at 0.00 μB per formula unit.

The structure belongs to space group Pmm2 (No. 25); the cell edges are 2.802, 3.843 and 5.771 Å and the angles 90.00°, 90.00° and 90.00°. The inequivalent atoms are Os at (0.000, 0.000, 0.000), Os at (0.500, 0.500, 0.201), Pt at (0.000, 0.000, 0.464) and Au at (0.500, 0.500, 0.724).



(11)
A relaxed OsPtAu2 crystal, computed with GGA-PBE.

Its polymorph energy (0 for the lowest one) is 215 meV/atom. Its energy of formation from the pure elements is 455 meV per atom. The total magnetization comes out at 0.51 μB per formula unit.

The structure belongs to space group Immm (No. 71); the cell edges are 2.750, 4.918 and 9.875 Å and the angles 90.00°, 90.00° and 90.00°. The inequivalent atoms are Os at (0.000, 0.000, 0.000), Pt at (0.000, 0.000, 0.500) and Au at (0.000, 0.500, 0.255).



(12)
A relaxed Os2PtAu crystal, computed with GGA-PBE.

Its polymorph energy (0 for the lowest one) is 624 meV/atom. Its energy of formation from the pure elements is 796 meV per atom. The total magnetization comes out at 0.00 μB per formula unit.

The structure belongs to space group P4/mmm (No. 123); the cell edges are 4.454, 4.454 and 3.148 Å and the angles 90.00°, 90.00° and 90.00°. The inequivalent atoms are Os at (0.000, 0.500, 0.000), Pt at (0.000, 0.000, 0.500) and Au at (0.500, 0.500, 0.500).



(13)
A relaxed Os2PtAu crystal, computed with GGA-PBE.

Its polymorph energy (0 for the lowest one) is 373 meV/atom. Its energy of formation from the pure elements is 545 meV per atom. The total magnetization comes out at 0.00 μB per formula unit.

The structure belongs to space group Pmmm (No. 47); the cell edges are 2.758, 3.988 and 5.640 Å and the angles 90.00°, 90.00° and 90.00°. The inequivalent atoms are Os at (0.000, 0.000, 0.233), Pt at (0.500, 0.500, 0.000) and Au at (0.500, 0.500, 0.500).



(14)
A relaxed Os2PtAu crystal, computed with GGA-PBE.

Its polymorph energy (0 for the lowest one) is 388 meV/atom. Its energy of formation from the pure elements is 560 meV per atom. The total magnetization comes out at 0.00 μB per formula unit.

The structure belongs to space group I4/mmm (No. 139); the cell edges are 3.910, 3.910 and 8.065 Å and the angles 90.00°, 90.00° and 90.00°. The inequivalent atoms are Os at (0.000, 0.500, 0.250), Pt at (0.000, 0.000, 0.000) and Au at (0.000, 0.000, 0.500).



(15)
A relaxed OsPt2Au crystal, computed with GGA-PBE.

Its polymorph energy (0 for the lowest one) is 139 meV/atom. Its energy of formation from the pure elements is 229 meV per atom. The total magnetization comes out at 0.00 μB per formula unit.

The structure belongs to space group P4mm (No. 99); the cell edges are 2.807, 2.807 and 8.056 Å and the angles 90.00°, 90.00° and 90.00°. The inequivalent atoms are Os at (0.000, 0.000, 0.000), Pt at (0.000, 0.000, 0.474), Pt at (0.500, 0.500, 0.222) and Au at (0.500, 0.500, 0.741).